[1]
U2Ni15Sb2 | GGA-PBE | optimized geometry

## Properties
The calculation puts the magnetization at 0.12 μB/atom. The calculation puts the raw formation energy at -0.90 eV per formula unit.

Lattice parameters (Å, degrees): 6.4132 6.4132 6.4132 81.52 81.52 81.52
Last column: nearest neighbours and their distance in Å.
Fractional positions:
U 0.1047 0.1047 0.1047  6 Ni 2.54-2.60, 1 U 2.65
U 0.8953 0.8953 0.8953  6 Ni 2.54-2.60, 1 U 2.65
Ni 0.5000 0.0000 0.0000  8 Ni 2.44-2.50, 2 U 2.54
Ni 0.0000 0.0000 0.5000  8 Ni 2.44-2.50, 2 U 2.54
Ni 0.0000 0.5000 0.0000  8 Ni 2.44-2.50, 2 U 2.54
Ni 0.0000 0.6772 0.3228  8 Ni 2.50-2.70
Ni 0.6772 0.3228 0.0000  8 Ni 2.50-2.70
Ni 0.3228 0.0000 0.6772  8 Ni 2.50-2.70
Ni 0.3228 0.6772 0.0000  8 Ni 2.50-2.70
Ni 0.6772 0.0000 0.3228  8 Ni 2.50-2.70
Ni 0.0000 0.3228 0.6772  8 Ni 2.50-2.70
Ni 0.1708 0.6599 0.6599  8 Ni 2.37-2.55, 1 U 2.60
Ni 0.6599 0.6599 0.1708  8 Ni 2.37-2.55, 1 U 2.60
Ni 0.6599 0.1708 0.6599  8 Ni 2.37-2.55, 1 U 2.60
Ni 0.8292 0.3401 0.3401  8 Ni 2.37-2.55, 1 U 2.60
Ni 0.3401 0.3401 0.8292  8 Ni 2.37-2.55, 1 U 2.60
Ni 0.3401 0.8292 0.3401  8 Ni 2.37-2.55, 1 U 2.60
Sb 0.3654 0.3654 0.3654  12 Ni 2.87-2.94
Sb 0.6346 0.6346 0.6346  12 Ni 2.87-2.94

***

[2]
U2NiSb4 | GGA-PBE | optimized geometry

## Properties
The calculation puts the magnetization at 0.52 μB/atom. The calculation puts the raw formation energy at -2.42 eV per formula unit.

Lattice parameters (Å, degrees): 4.3447 4.3447 8.9654 90.00 90.00 90.00
Last column: nearest neighbours and their distance in Å.
Fractional positions:
U 0.5000 0.0000 0.2253  2 Ni 2.97, 8 Sb 3.14-3.28
U 0.0000 0.5000 0.7747  2 Ni 2.97, 8 Sb 3.14-3.28
Ni 0.0000 0.0000 0.0000  4 Sb 2.56
Sb 0.0000 0.0000 0.5000  4 Sb 3.07, 4 U 3.28
Sb 0.5000 0.5000 0.5000  4 Sb 3.07, 4 U 3.28
Sb 0.5000 0.0000 0.8486  2 Ni 2.56
Sb 0.0000 0.5000 0.1514  2 Ni 2.56

***

Copy entry 1 word for word.
U2Ni15Sb2 | GGA-PBE | optimized geometry

## Properties
The calculation puts the magnetization at 0.12 μB/atom. The calculation puts the raw formation energy at -0.90 eV per formula unit.

Lattice parameters (Å, degrees): 6.4132 6.4132 6.4132 81.52 81.52 81.52
Last column: nearest neighbours and their distance in Å.
Fractional positions:
U 0.1047 0.1047 0.1047  6 Ni 2.54-2.60, 1 U 2.65
U 0.8953 0.8953 0.8953  6 Ni 2.54-2.60, 1 U 2.65
Ni 0.5000 0.0000 0.0000  8 Ni 2.44-2.50, 2 U 2.54
Ni 0.0000 0.0000 0.5000  8 Ni 2.44-2.50, 2 U 2.54
Ni 0.0000 0.5000 0.0000  8 Ni 2.44-2.50, 2 U 2.54
Ni 0.0000 0.6772 0.3228  8 Ni 2.50-2.70
Ni 0.6772 0.3228 0.0000  8 Ni 2.50-2.70
Ni 0.3228 0.0000 0.6772  8 Ni 2.50-2.70
Ni 0.3228 0.6772 0.0000  8 Ni 2.50-2.70
Ni 0.6772 0.0000 0.3228  8 Ni 2.50-2.70
Ni 0.0000 0.3228 0.6772  8 Ni 2.50-2.70
Ni 0.1708 0.6599 0.6599  8 Ni 2.37-2.55, 1 U 2.60
Ni 0.6599 0.6599 0.1708  8 Ni 2.37-2.55, 1 U 2.60
Ni 0.6599 0.1708 0.6599  8 Ni 2.37-2.55, 1 U 2.60
Ni 0.8292 0.3401 0.3401  8 Ni 2.37-2.55, 1 U 2.60
Ni 0.3401 0.3401 0.8292  8 Ni 2.37-2.55, 1 U 2.60
Ni 0.3401 0.8292 0.3401  8 Ni 2.37-2.55, 1 U 2.60
Sb 0.3654 0.3654 0.3654  12 Ni 2.87-2.94
Sb 0.6346 0.6346 0.6346  12 Ni 2.87-2.94